Entry from the Alexandria database: SmTeH after structural relaxation (GGA-PBE).

E in eV/atom: -4.55
Total magnetic moment in μB/atom: 0.000
Fermi-level density of states in states/eV per atom: 0.18

a = 5.1162 Å, b = 4.0870 Å, c = 7.1017 Å
α = 90.00°, β = 111.07°, γ = 90.00°
Space group P2/m (No. 10)
Inequivalent atoms, fractional coordinates:
Sm 0.1395 0.0000 0.2783 [2 per cell]
Te 0.3430 0.5000 0.6865 [2 per cell]
H 0.2145 0.0000 0.9997 [2 per cell]

=====

Entry from the Alexandria database: Sm3Te2H2 after structural relaxation (GGA-PBE).

E in eV/atom: -4.87
Total magnetic moment in μB/atom: 0.000
Fermi-level density of states in states/eV per atom: 0.60

a = 17.4825 Å, b = 4.5739 Å, c = 4.1398 Å
α = 90.00°, β = 103.65°, γ = 90.00°
Space group C2/m (No. 12)
Inequivalent atoms, fractional coordinates:
Sm 0.0000 0.0000 0.0000 [2 per cell]
Sm 0.1233 0.5000 0.6227 [4 per cell]
Te 0.1790 0.0000 0.1780 [4 per cell]
H 0.0000 0.2541 0.5000 [4 per cell]